Computed, not measured: crystalline K2PrV3F12 at its relaxed geometry at the PBE+U level of DFT.

The density is 3.410 Mg/m³. As for the final energy: -5.91 eV per atom.

It has space group R-3m (No. 166, hexagonal axes), with a = 7.7230 Å, b = 7.7230 Å, c = 16.9665 Å, α = 90.00°, β = 90.00° and γ = 120.00°. The inequivalent atoms are K at (0.0000, 0.0000, 0.1210), Pr at (0.0000, 0.0000, 0.5000), V at (0.0000, 0.5000, 0.0000), F at (0.0116, 0.5058, 0.8793) and F at (0.0810, 0.5405, 0.3126).